(1)
VASP calculation (GGA-PBE) on an optimized crystal structure of La2PrPu.

Calculated values
- Relative energy among the computed polymorphs: 0.005 eV per atom
- D(E_F): 2.76 states/eV per atom
- Uncorrected energy: -7.13 eV per atom
- Formation energy from the elements: 0.11 eV/atom

abc: 11.908 11.908 11.908
angles: 17.73 17.73 17.73
Positions (direct):
La1 0.000 0.000 0.000
La2 0.157 0.157 0.157
Pr1 0.579 0.579 0.579
Pu1 0.411 0.411 0.411


(2)
VASP calculation (GGA-PBE) on an optimized crystal structure of La6PrPu.

Calculated values
- D(E_F): 2.27 states/eV per atom
- Uncorrected energy: -6.02 eV per atom
- Formation energy from the elements: 0.06 eV/atom

abc: 8.951 8.175 6.371
angles: 74.81 61.81 43.39
Positions (direct):
La1 0.123 0.123 0.377
La2 0.239 0.239 0.761
La3 0.377 0.377 0.123
La4 0.623 0.623 0.877
La5 0.761 0.761 0.239
La6 0.877 0.877 0.623
Pr1 0.500 0.500 0.500
Pu1 0.000 0.000 0.000


(3)
VASP calculation (GGA-PBE) on an optimized crystal structure of LaPrPu2.

Calculated values
- D(E_F): 3.87 states/eV per atom
- Uncorrected energy: -9.37 eV per atom
- Formation energy from the elements: 0.23 eV/atom

abc: 4.968 4.968 5.032
angles: 90.00 90.00 90.00
Positions (direct):
La1 0.000 0.000 0.000
Pr1 0.500 0.500 0.000
Pu1 0.000 0.500 0.500
Pu2 0.500 0.000 0.500


(4)
VASP calculation (GGA-PBE) on an optimized crystal structure of La14PrPu.

Calculated values
- D(E_F): 1.86 states/eV per atom
- Uncorrected energy: -5.48 eV per atom
- Formation energy from the elements: 0.03 eV/atom

abc: 10.417 7.397 7.397
angles: 89.99 90.00 90.00
Positions (direct):
La1 0.000 0.000 0.000
La2 0.000 0.499 0.499
La3 0.000 0.505 0.993
La4 0.000 0.993 0.505
La5 0.249 0.246 0.246
La6 0.256 0.245 0.755
La7 0.256 0.755 0.245
La8 0.262 0.756 0.756
La9 0.500 0.006 0.491
La10 0.500 0.491 0.006
La11 0.738 0.756 0.756
La12 0.744 0.245 0.755
La13 0.744 0.755 0.245
La14 0.751 0.246 0.246
Pr1 0.500 0.500 0.500
Pu1 0.500 0.000 0.000


(5)
VASP calculation (GGA-PBE) on an optimized crystal structure of La2PrPu.

Calculated values
- Relative energy among the computed polymorphs: 0.000 eV per atom
- D(E_F): 2.51 states/eV per atom
- Uncorrected energy: -7.13 eV per atom
- Formation energy from the elements: 0.11 eV/atom

abc: 3.629 3.629 10.312
angles: 90.00 90.00 90.00
Positions (direct):
La1 0.000 0.000 0.236
La2 0.000 0.000 0.764
Pr1 0.500 0.500 0.500
Pu1 0.500 0.500 0.000


(6)
VASP calculation (GGA-PBE) on an optimized crystal structure of La12Pr7Pu.

Calculated values
- D(E_F): 2.28 states/eV per atom
- Uncorrected energy: -4.80 eV per atom
- Formation energy from the elements: 0.55 eV/atom

abc: 10.263 10.263 10.263
angles: 109.47 109.47 109.47
Positions (direct):
La1 0.002 0.757 0.245
La2 0.243 0.245 0.488
La3 0.243 0.755 0.998
La4 0.245 0.002 0.757
La5 0.245 0.488 0.243
La6 0.488 0.243 0.245
La7 0.512 0.757 0.755
La8 0.755 0.512 0.757
La9 0.755 0.998 0.243
La10 0.757 0.245 0.002
La11 0.757 0.755 0.512
La12 0.998 0.243 0.755
Pr1 0.000 0.000 0.500
Pr2 0.000 0.500 0.000
Pr3 0.000 0.500 0.500
Pr4 0.500 0.000 0.000
Pr5 0.500 0.000 0.500
Pr6 0.500 0.500 0.000
Pr7 0.500 0.500 0.500
Pu1 0.000 0.000 0.000